MgBi2: relaxed, GGA-PBE.

Cell and atoms, written as POSCAR:
```
MgBi2
1.0
3.811 -0.010 0.006
-0.010 3.811 0.006
-1.909 -1.909 6.031
Bi Mg
2 1
Direct
0.137 0.137 0.273
0.863 0.863 0.727
0.500 0.500 0.000
```

Formation enthalpy at 0 K   -0.022 eV per atom
V   88 Å³/f.u.
Density of states at the Fermi level   0.54 states/eV per atom

RbScSn: relaxed, GGA-PBE.

Cell and atoms, written as POSCAR:
```
RbScSn
1.0
14.477 0.000 0.000
0.000 7.347 0.000
0.000 0.000 4.157
Sn Rb Sc
4 4 4
Direct
0.569 0.750 0.000
0.069 0.750 0.500
0.431 0.250 0.000
0.931 0.250 0.500
0.710 0.250 0.000
0.790 0.750 0.500
0.290 0.750 0.000
0.210 0.250 0.500
0.500 0.500 0.500
0.000 0.500 0.000
0.000 0.000 0.000
0.500 0.000 0.500
```

Formation enthalpy at 0 K   -0.150 eV per atom
V   111 Å³/f.u.
Density of states at the Fermi level   0.36 states/eV per atom
Excess energy over the best structure of this formula in the dataset   199 meV per atom

LaPm2NdHo5: relaxed, GGA-PBE.

Cell and atoms, written as POSCAR:
```
LaPm2NdHo5
1.0
8.745 0.000 0.000
0.000 8.745 0.000
-4.373 -4.373 7.810
Ho Nd La Pm
10 2 2 4
Direct
0.000 0.000 0.000
0.157 0.072 0.730
0.072 0.572 0.730
0.657 0.157 0.730
0.428 0.343 0.270
0.928 0.428 0.270
0.843 0.928 0.270
0.500 0.500 0.000
0.572 0.657 0.730
0.343 0.843 0.270
0.250 0.750 0.500
0.750 0.250 0.500
0.250 0.250 0.500
0.750 0.750 0.500
0.883 0.617 0.000
0.117 0.383 0.000
0.383 0.883 0.000
0.617 0.117 0.000
```

Formation enthalpy at 0 K   0.247 eV per atom
V   299 Å³/f.u.
Density of states at the Fermi level   1.07 states/eV per atom

Question: Which value of V does entry 1 give?
Answer: 88 Å³/f.u.

Question: Look up the density of states at the Fermi level of the third one.
Answer: 1.07 states/eV per atom

Question: What is the V in the third record?
Answer: 299 Å³/f.u.